VASP calculation (PBE with a Hubbard U) on crystalline BaNi2Ru2O7 at its relaxed geometry.

a b c (Å): 8.978 8.978 8.978
angles (deg): 153.69 153.69 37.55
Element x y z (fractional)
Ba (0.000, 0.000, 0.000)
Ni (0.250, 0.750, 0.500)
Ni (0.750, 0.250, 0.500)
Ru (0.385, 0.385, 0.000)
Ru (0.615, 0.615, 0.000)
O (0.124, 0.624, 0.500)
O (0.266, 0.266, 0.000)
O (0.376, 0.876, 0.500)
O (0.500, 0.500, 0.000)
O (0.624, 0.124, 0.500)
O (0.734, 0.734, 0.000)
O (0.876, 0.376, 0.500)

Output
The uncorrected energy is -75.1 eV/f.u.